(1)
Below is an optimized crystal structure of KHIrAuCl, with properties calculated at the GGA-PBE level.

Unit cell a=4.5474 b=2.9951 c=14.0405 alpha=90.00 beta=90.00 gamma=90.00
Space group Amm2 (No. 38)
Unique sites:
K1 0.0000 0.0000 0.0000 (multiplicity 2)
H1 0.5000 0.0000 0.8849 (multiplicity 2)
Ir1 0.5000 0.0000 0.7716 (multiplicity 2)
Au1 0.0000 0.0000 0.2829 (multiplicity 2)
Cl1 0.5000 0.0000 0.5963 (multiplicity 2)

Properties
Crystal system   orthorhombic
Calculated total energy   -3.970 eV per atom
Energy above the most stable polymorph in this dataset   0 meV per atom

=====

(2)
Below is an optimized crystal structure of Ba3Li4Tl4, with properties calculated at the GGA-PBE level.

Unit cell a=8.7625 b=8.7625 c=8.7625 alpha=90.00 beta=90.00 gamma=90.00
Space group I-43m (No. 217)
Unique sites:
Ba1 0.0000 0.0000 0.5000 (multiplicity 6)
Li1 0.1170 0.1170 0.8830 (multiplicity 8)
Tl1 0.2054 0.2054 0.2054 (multiplicity 8)

Properties
Crystal system   cubic
Calculated total energy   -2.357 eV per atom
Energy above the most stable polymorph in this dataset   0 meV per atom
DFT formation energy   -0.277 eV per atom

=====

(3)
Below is an optimized crystal structure of Ca2CuSi, with properties calculated at the GGA-PBE level.

Unit cell a=4.0946 b=4.0946 c=22.5172 alpha=90.00 beta=90.00 gamma=120.00
Space group R3m (No. 160, hexagonal axes)
Unique sites:
Ca1 0.0000 0.0000 0.0000 (multiplicity 3)
Ca2 0.0000 0.0000 0.1758 (multiplicity 3)
Cu1 0.0000 0.0000 0.7549 (multiplicity 3)
Si1 0.0000 0.0000 0.4209 (multiplicity 3)

Properties
Crystal system   trigonal
E_form (uncorrected)   -0.36 eV per atom
Calculated total energy   -3.736 eV per atom

=====

(4)
Below is an optimized crystal structure of Ac2Mg5Au4, with properties calculated at the GGA-PBE level.

Unit cell a=6.0728 b=12.2298 c=14.9543 alpha=90.00 beta=90.00 gamma=90.00
Space group Fmmm (No. 69)
Unique sites:
Ac1 0.0000 0.0000 0.1548 (multiplicity 8)
Mg1 0.0000 0.0000 0.5000 (multiplicity 4)
Mg2 0.2500 0.2500 0.0000 (multiplicity 8)
Mg3 0.2500 0.2500 0.2500 (multiplicity 8)
Au1 0.0000 0.1311 0.3607 (multiplicity 16)

Properties
Crystal system   orthorhombic
Calculated total energy   -3.204 eV per atom
DFT formation energy   -0.540 eV per atom

=====

(5)
Below is an optimized crystal structure of Rb2Ga2PbBr6, with properties calculated at the GGA-PBE level.

Unit cell a=11.7459 b=8.2693 c=9.0301 alpha=90.00 beta=109.89 gamma=90.00
Space group C2/m (No. 12)
Unique sites:
Rb1 0.1970 0.0000 0.1323 (multiplicity 4)
Ga1 0.0923 0.5000 0.1717 (multiplicity 4)
Pb1 0.0000 0.0000 0.5000 (multiplicity 2)
Br1 0.0522 0.2379 0.7861 (multiplicity 8)
Br2 0.2377 0.5000 0.4749 (multiplicity 4)

Properties
Crystal system   monoclinic
E_form (uncorrected)   -1.06 eV per atom
Calculated total energy   -3.033 eV per atom

=====

(6)
Below is an optimized crystal structure of Zr2InTePd, with properties calculated at the GGA-PBE level.

Unit cell a=5.3176 b=5.3176 c=4.8830 alpha=90.00 beta=90.00 gamma=90.00
Space group P4/mmm (No. 123)
Unique sites:
Zr1 0.0000 0.5000 0.0000 (multiplicity 2)
In1 0.0000 0.0000 0.5000 (multiplicity 1)
Te1 0.5000 0.5000 0.0000 (multiplicity 1)
Pd1 0.5000 0.5000 0.5000 (multiplicity 1)

Properties
Crystal system   tetragonal
E_form (uncorrected)   0.30 eV per atom
Calculated total energy   -5.334 eV per atom